Record 1
This record from OQMD describes a relaxed BaBi2PdPt crystal. The functional is PBE.

Computed properties:
**Energy above the lowest structure with this stoichiometry**: 21 meV/atom
**Space group**: P2_1/m (11)
**VASP energy**: -4.8744 eV per atom
**Crystal system**: monoclinic

Cell lengths 5.0795, 4.9152, 10.8865 Å; angles 90.00, 92.15, 90.00 degrees
Last column: nearest neighbours and their distance in Å.
Atoms (fractional coordinates):
Ba (0.2387, 0.2500, 0.2418)  3 Pt 3.31-3.61, 2 Bi 3.68
Ba (0.7613, 0.7500, 0.7582)  3 Pt 3.31-3.61, 2 Bi 3.68
Bi (0.6944, 0.7500, 0.1152)  4 Pt 2.81-2.86, 1 Pd 2.82
Bi (0.2504, 0.7500, 0.4974)  4 Pd 2.83-2.89
Bi (0.7496, 0.2500, 0.5026)  4 Pd 2.83-2.89
Bi (0.3056, 0.2500, 0.8848)  4 Pt 2.81-2.86, 1 Pd 2.82
Pd (0.7443, 0.7500, 0.3738)  5 Bi 2.82-2.89
Pd (0.2557, 0.2500, 0.6262)  5 Bi 2.82-2.89
Pt (0.8209, 0.2500, 0.0011)  4 Bi 2.81-2.86, 2 Pt 3.06
Pt (0.1791, 0.7500, 0.9989)  4 Bi 2.81-2.86, 2 Pt 3.06



Record 2
This record from OQMD describes a relaxed Ba2BiPdS6 crystal. The functional is PBE.

Computed properties:
**Space group**: Fm-3m (225)
**VASP energy**: -4.5699 eV per atom
**Crystal system**: cubic

Cell lengths 7.1382, 7.1382, 7.1382 Å; angles 120.00, 120.00, 60.00 degrees
Last column: nearest neighbours and their distance in Å.
Atoms (fractional coordinates):
Ba (0.7500, 0.7500, 0.2500)  12 S 3.57
Ba (0.2500, 0.2500, 0.7500)  12 S 3.57
Bi (0.5000, 0.5000, 0.5000)  6 S 2.66
Pd (0.0000, 0.0000, 0.0000)  6 S 2.38
S (0.7638, 0.2362, 0.2362)  1 Pd 2.38, 1 Bi 2.66
S (0.2362, 0.7638, 0.2362)  1 Pd 2.38, 1 Bi 2.66
S (0.2362, 0.2362, 0.2362)  1 Pd 2.38, 1 Bi 2.66
S (0.7638, 0.7638, 0.7638)  1 Pd 2.38, 1 Bi 2.66
S (0.7638, 0.2362, 0.7638)  1 Pd 2.38, 1 Bi 2.66
S (0.2362, 0.7638, 0.7638)  1 Pd 2.38, 1 Bi 2.66



Record 3
This record from OQMD describes a relaxed BaBiSbPd crystal. The functional is PBE.

Computed properties:
**Space group**: Cmcm (63)
**VASP energy**: -4.5483 eV per atom
**Crystal system**: orthorhombic

Cell lengths 9.8673, 9.8673, 5.0419 Å; angles 90.00, 90.00, 150.85 degrees
Last column: nearest neighbours and their distance in Å.
Atoms (fractional coordinates):
Ba (0.6030, 0.3970, 0.2500)  6 Sb 3.70-3.73, 4 Bi 3.74-3.78, 4 Pd 3.82
Ba (0.3970, 0.6030, 0.7500)  6 Sb 3.70-3.73, 4 Bi 3.74-3.78, 4 Pd 3.82
Bi (0.2494, 0.7506, 0.2500)  4 Pd 2.84-2.86
Bi (0.7506, 0.2494, 0.7500)  4 Pd 2.84-2.86
Pd (0.8214, 0.1786, 0.2500)  1 Sb 2.64, 4 Bi 2.84-2.86
Pd (0.1786, 0.8214, 0.7500)  1 Sb 2.64, 4 Bi 2.84-2.86
Sb (0.9595, 0.0405, 0.2500)  1 Pd 2.64
Sb (0.0405, 0.9595, 0.7500)  1 Pd 2.64



Which of these has the lowest VASP energy?
BaBi2PdPt



Copy entry 3 word for word.
This record from OQMD describes a relaxed BaBiSbPd crystal. The functional is PBE.

Computed properties:
**Space group**: Cmcm (63)
**VASP energy**: -4.5483 eV per atom
**Crystal system**: orthorhombic

Cell lengths 9.8673, 9.8673, 5.0419 Å; angles 90.00, 90.00, 150.85 degrees
Last column: nearest neighbours and their distance in Å.
Atoms (fractional coordinates):
Ba (0.6030, 0.3970, 0.2500)  6 Sb 3.70-3.73, 4 Bi 3.74-3.78, 4 Pd 3.82
Ba (0.3970, 0.6030, 0.7500)  6 Sb 3.70-3.73, 4 Bi 3.74-3.78, 4 Pd 3.82
Bi (0.2494, 0.7506, 0.2500)  4 Pd 2.84-2.86
Bi (0.7506, 0.2494, 0.7500)  4 Pd 2.84-2.86
Pd (0.8214, 0.1786, 0.2500)  1 Sb 2.64, 4 Bi 2.84-2.86
Pd (0.1786, 0.8214, 0.7500)  1 Sb 2.64, 4 Bi 2.84-2.86
Sb (0.9595, 0.0405, 0.2500)  1 Pd 2.64
Sb (0.0405, 0.9595, 0.7500)  1 Pd 2.64



Which formula does entry 2 have?
Ba2BiPdS6



Copy entry 3 word for word.
This record from OQMD describes a relaxed BaBiSbPd crystal. The functional is PBE.

Computed properties:
**Space group**: Cmcm (63)
**VASP energy**: -4.5483 eV per atom
**Crystal system**: orthorhombic

Cell lengths 9.8673, 9.8673, 5.0419 Å; angles 90.00, 90.00, 150.85 degrees
Last column: nearest neighbours and their distance in Å.
Atoms (fractional coordinates):
Ba (0.6030, 0.3970, 0.2500)  6 Sb 3.70-3.73, 4 Bi 3.74-3.78, 4 Pd 3.82
Ba (0.3970, 0.6030, 0.7500)  6 Sb 3.70-3.73, 4 Bi 3.74-3.78, 4 Pd 3.82
Bi (0.2494, 0.7506, 0.2500)  4 Pd 2.84-2.86
Bi (0.7506, 0.2494, 0.7500)  4 Pd 2.84-2.86
Pd (0.8214, 0.1786, 0.2500)  1 Sb 2.64, 4 Bi 2.84-2.86
Pd (0.1786, 0.8214, 0.7500)  1 Sb 2.64, 4 Bi 2.84-2.86
Sb (0.9595, 0.0405, 0.2500)  1 Pd 2.64
Sb (0.0405, 0.9595, 0.7500)  1 Pd 2.64